## i
Below is a geometry-optimized Ga2CuPd4 structure, with properties calculated at the PBE level.

Cell and atoms, written as POSCAR:
```
Ga2CuPd4
1.0
3.650 0.000 -0.841
-0.194 3.645 -0.841
0.273 0.288 9.522
Pd Ga Cu
4 2 1
direct
0.750 0.250 0.500
0.134 0.134 0.268
0.250 0.750 0.500
0.866 0.866 0.732
0.640 0.640 0.281
0.360 0.360 0.719
0.000 0.000 0.000
```

Results
- Spin magnetization: 0.000 μB/f.u.
- Space-group type: No. 139



## ii
Below is a geometry-optimized Ga2CuPd4 structure, with properties calculated at the PBE level.

Cell and atoms, written as POSCAR:
```
Ga2CuPd4
1.0
4.592 0.000 0.000
0.000 4.592 0.000
2.296 2.296 6.249
Pd Ga Cu
4 2 1
direct
0.198 0.198 0.605
0.000 0.500 0.000
0.500 0.000 0.000
0.802 0.802 0.395
0.388 0.388 0.224
0.612 0.612 0.776
0.000 0.000 0.000
```

Results
- Spin magnetization: 0.000 μB/f.u.
- Space-group type: No. 139



Most stable: i



## i
Below is a geometry-optimized PrGaCuPd structure, with properties calculated at the PBE level.

Cell and atoms, written as POSCAR:
```
PrGaCuPd
1.0
-1.178 -4.462 -1.254
2.735 -3.673 1.379
-1.603 -3.067 3.300
Pr Ga Pd Cu
1 1 1 1
direct
0.500 0.500 0.500
0.000 0.000 0.000
0.750 0.750 0.750
0.250 0.250 0.250
```

Results
- Spin magnetization: 0.000 μB/f.u.
- Space-group type: No. 216



## ii
Below is a geometry-optimized PrGaCuPd structure, with properties calculated at the PBE level.

Cell and atoms, written as POSCAR:
```
PrGaCuPd
1.0
-2.315 0.710 -3.653
2.525 -3.566 0.336
-4.628 -0.315 2.871
Pd Cu Pr Ga
1 1 1 1
direct
0.825 0.650 0.116
0.414 0.828 0.884
0.618 0.236 0.497
0.109 0.218 0.970
```

Results
- Spin magnetization: 0.000 μB/f.u.
- Space-group type: No. 160



Most stable: ii



## i
Below is a geometry-optimized SmGaCuPd structure, with properties calculated at the PBE level.

Cell and atoms, written as POSCAR:
```
SmGaCuPd
1.0
-3.926 1.109 -2.363
-0.523 -1.374 -4.479
-3.126 -3.358 -1.086
Sm Pd Cu Ga
1 1 1 1
direct
0.500 0.500 0.500
0.750 0.750 0.750
0.250 0.250 0.250
0.000 0.000 0.000
```

Results
- Spin magnetization: 0.000 μB/f.u.
- Space-group type: No. 216



## ii
Below is a geometry-optimized SmGaCuPd structure, with properties calculated at the PBE level.

Cell and atoms, written as POSCAR:
```
SmGaCuPd
1.0
-1.076 -4.063 1.227
2.866 0.617 -3.255
1.931 0.944 4.822
Sm Pd Ga Cu
1 1 1 1
direct
0.617 0.235 0.494
0.829 0.658 0.129
0.111 0.221 0.974
0.410 0.819 0.871
```

Results
- Spin magnetization: 0.000 μB/f.u.
- Space-group type: No. 160



Most stable: ii



## i
Below is a geometry-optimized Pm4Ga3Cu structure, with properties calculated at the PBE level.

Cell and atoms, written as POSCAR:
```
Pm4Ga3Cu
1.0
-4.504 -1.675 1.841
-0.099 -3.586 3.690
-1.378 4.347 7.776
Ga Pm Cu
3 4 1
direct
0.500 0.500 0.500
0.750 0.750 0.749
0.250 0.250 0.251
0.628 0.628 0.117
0.877 0.877 0.368
0.372 0.372 0.883
0.123 0.123 0.632
0.000 0.000 0.000
```

Results
- Spin magnetization: 0.000 μB/f.u.
- Space-group type: No. 166



## ii
Below is a geometry-optimized Pm4Ga3Cu structure, with properties calculated at the PBE level.

Cell and atoms, written as POSCAR:
```
Pm4Ga3Cu
1.0
-0.371 -2.267 -3.739
-2.099 -3.068 2.068
-9.387 5.005 -2.103
Pm Ga Cu
4 3 1
direct
0.000 0.500 0.866
0.000 0.000 0.141
0.500 0.500 0.349
0.500 0.000 0.645
0.500 0.000 0.935
0.000 0.500 0.574
0.000 0.000 0.426
0.500 0.500 0.064
```

Results
- Spin magnetization: 0.001 μB/f.u.
- Space-group type: No. 25



Most stable: ii



## i
Below is a geometry-optimized Pm2GaCu5 structure, with properties calculated at the PBE level.

Cell and atoms, written as POSCAR:
```
Pm2GaCu5
1.0
-0.129 2.548 -5.428
3.092 -5.072 0.828
-4.948 -2.594 2.182
Cu Pm Ga
5 2 1
direct
0.000 0.701 0.287
0.000 0.287 0.701
0.587 0.287 0.287
0.000 0.281 0.281
0.413 0.701 0.701
0.500 0.744 0.244
0.500 0.244 0.744
0.000 0.977 0.977
```

Results
- Spin magnetization: 0.000 μB/f.u.
- Space-group type: No. 107



## ii
Below is a geometry-optimized Pm2GaCu5 structure, with properties calculated at the PBE level.

Cell and atoms, written as POSCAR:
```
Pm2GaCu5
1.0
4.235 0.000 0.000
-2.118 7.752 0.000
0.000 0.000 8.832
Cu Pm Ga
10 4 2
direct
0.655 0.310 0.480
0.178 0.356 0.888
0.599 0.197 0.750
0.655 0.310 0.020
0.822 0.644 0.388
0.345 0.690 0.980
0.178 0.356 0.612
0.401 0.803 0.250
0.345 0.690 0.520
0.822 0.644 0.112
0.000 0.000 0.000
0.000 0.000 0.500
0.790 0.580 0.750
0.210 0.420 0.250
0.561 0.121 0.250
0.439 0.879 0.750
```

Results
- Spin magnetization: 0.000 μB/f.u.
- Space-group type: No. 63



Most stable: ii



## i
Below is a geometry-optimized PmGa2Cu structure, with properties calculated at the PBE level.

Cell and atoms, written as POSCAR:
```
PmGa2Cu
1.0
4.357 0.000 0.000
0.000 4.257 0.000
0.000 0.000 4.257
Ga Cu Pm
2 1 1
direct
0.000 0.000 0.500
0.000 0.500 0.000
0.500 0.000 0.000
0.500 0.500 0.500
```

Results
- Spin magnetization: 0.000 μB/f.u.
- Space-group type: No. 123



## ii
Below is a geometry-optimized PmGa2Cu structure, with properties calculated at the PBE level.

Cell and atoms, written as POSCAR:
```
PmGa2Cu
1.0
4.178 0.000 0.000
2.089 3.618 0.000
2.089 1.206 5.286
Cu Ga Pm
1 2 1
direct
0.500 0.500 0.500
0.213 0.213 0.362
0.787 0.787 0.638
0.000 0.000 0.000
```

Results
- Spin magnetization: 0.000 μB/f.u.
- Space-group type: No. 166



## iii
Below is a geometry-optimized PmGa2Cu structure, with properties calculated at the PBE level.

Cell and atoms, written as POSCAR:
```
PmGa2Cu
1.0
4.781 0.000 0.000
2.391 4.140 0.000
2.391 1.380 3.904
Pm Cu Ga
1 1 2
direct
0.000 0.000 0.000
0.500 0.500 0.500
0.250 0.250 0.250
0.750 0.750 0.750
```

Results
- Spin magnetization: 0.000 μB/f.u.
- Space-group type: No. 225



## iv
Below is a geometry-optimized PmGa2Cu structure, with properties calculated at the PBE level.

Cell and atoms, written as POSCAR:
```
PmGa2Cu
1.0
-1.064 -2.577 5.004
-0.254 -5.917 -3.101
7.837 -0.952 1.176
Ga Cu Pm
8 4 4
direct
0.610 0.056 0.685
0.390 0.556 0.315
0.110 0.556 0.815
0.110 0.944 0.815
0.890 0.056 0.185
0.390 0.944 0.315
0.610 0.444 0.685
0.890 0.444 0.185
0.370 0.750 0.593
0.130 0.750 0.093
0.630 0.250 0.407
0.870 0.250 0.907
0.125 0.250 0.536
0.625 0.750 0.964
0.875 0.750 0.464
0.375 0.250 0.036
```

Results
- Spin magnetization: 0.000 μB/f.u.
- Space-group type: No. 62



Most stable: ii



## i
Below is a geometry-optimized PmGa2Cu4 structure, with properties calculated at the PBE level.

Cell and atoms, written as POSCAR:
```
PmGa2Cu4
1.0
-4.049 0.071 0.048
-0.022 -4.933 5.536
0.156 5.535 4.932
Cu Ga Pm
8 4 2
direct
0.500 0.853 0.408
0.000 0.647 0.908
0.000 0.908 0.647
0.000 0.092 0.353
0.000 0.353 0.092
0.500 0.592 0.147
0.500 0.147 0.592
0.500 0.408 0.853
0.000 0.785 0.215
0.000 0.215 0.785
0.500 0.715 0.715
0.500 0.285 0.285
0.500 0.000 0.000
0.000 0.500 0.500
```

Results
- Spin magnetization: 0.000 μB/f.u.
- Space-group type: No. 136



## ii
Below is a geometry-optimized PmGa2Cu4 structure, with properties calculated at the PBE level.

Cell and atoms, written as POSCAR:
```
PmGa2Cu4
1.0
4.153 0.000 0.000
2.077 3.597 0.000
2.077 1.199 7.681
Cu Ga Pm
4 2 1
direct
0.556 0.556 0.331
0.444 0.444 0.669
0.858 0.858 0.427
0.142 0.142 0.573
0.749 0.749 0.752
0.251 0.251 0.248
0.000 0.000 0.000
```

Results
- Spin magnetization: 0.000 μB/f.u.
- Space-group type: No. 166



Most stable: i



## i
Below is a geometry-optimized Pm2Ga3Cu5 structure, with properties calculated at the PBE level.

Cell and atoms, written as POSCAR:
```
Pm2Ga3Cu5
1.0
-4.307 3.751 1.410
-2.406 -1.086 7.886
3.109 7.418 2.113
Ga Cu Pm
6 10 4
direct
0.750 0.000 0.000
0.121 0.247 0.512
0.879 0.753 0.488
0.621 0.512 0.247
0.250 0.000 0.000
0.379 0.488 0.753
0.645 0.974 0.738
0.855 0.262 0.026
0.250 0.234 0.766
0.145 0.738 0.974
0.750 0.234 0.766
0.250 0.766 0.234
0.250 0.500 0.500
0.355 0.026 0.262
0.750 0.500 0.500
0.750 0.766 0.234
0.237 0.389 0.137
0.263 0.863 0.611
0.737 0.137 0.389
0.763 0.611 0.863
```

Results
- Spin magnetization: 0.000 μB/f.u.
- Space-group type: No. 15



## ii
Below is a geometry-optimized Pm2Ga3Cu5 structure, with properties calculated at the PBE level.

Cell and atoms, written as POSCAR:
```
Pm2Ga3Cu5
1.0
-2.988 0.041 2.932
2.913 -0.434 2.975
0.805 10.064 0.680
Cu Pm Ga
5 2 3
direct
0.000 0.000 0.000
0.500 0.500 0.500
0.000 0.500 0.120
0.500 0.000 0.880
0.500 0.500 0.000
0.500 0.000 0.239
0.000 0.500 0.761
0.000 0.000 0.500
0.000 0.500 0.356
0.500 0.000 0.644
```

Results
- Spin magnetization: 0.000 μB/f.u.
- Space-group type: No. 115



Most stable: i